1.
Density functional theory data (PBE) for a relaxed TiSbTe2Pd crystal.

The calculation puts the density at 6.19 g/cm3. The calculation puts the polymorph energy (0 for the lowest one) at 1.092 eV/f.u. The value obtained for the formation energy (no corrections) is 0.5189 eV/atom. The density of states at the Fermi level is 7.50 states/eV/f.u.

The space group is P4/mmm (No. 123) and the conventional cell measures 5.302, 5.302 and 5.070 Å, with angles of 90.00, 90.00 and 90.00 degrees. The distinct sites, in fractional coordinates, are Ti at (0.000, 0.000, 0.000), Sb at (0.500, 0.500, 0.000), Te at (0.000, 0.500, 0.500) and Pd at (0.500, 0.500, 0.500).



2.
Density functional theory data (PBE) for a relaxed Ba2TbZnTe5 crystal.

The calculation puts the density at 5.82 g/cm3. The value obtained for the formation energy (no corrections) is -1.2435 eV/atom. The density of states at the Fermi level is 5.19 states/eV/f.u.

The space group is Cmc2_1 (No. 36) and the conventional cell measures 4.549, 20.292 and 14.063 Å, with angles of 90.00, 90.00 and 90.00 degrees. The distinct sites, in fractional coordinates, are Ba at (0.000, 0.120, 0.000), Ba at (0.000, 0.124, 0.633), Tb at (0.000, 0.202, 0.326), Zn at (0.000, 0.436, 0.741), Te at (0.000, 0.046, 0.344), Te at (0.000, 0.299, 0.975), Te at (0.000, 0.307, 0.674), Te at (0.000, 0.352, 0.319) and Te at (0.000, 0.499, 0.078).



3.
Density functional theory data (PBE) for a relaxed Nd2Dy2YEr2 crystal.

The calculation puts the density at 7.55 g/cm3. The energy of formation is 11.8 kJ/mol of atoms. The density of states at the Fermi level is 14.48 states/eV/f.u.

The space group is C2/m (No. 12) and the conventional cell measures 9.481, 5.937 and 9.138 Å, with angles of 90.00, 117.52 and 90.00 degrees. The distinct sites, in fractional coordinates, are Nd at (0.140, 0.000, 0.420), Dy at (0.213, 0.500, 0.142), Y at (0.000, 0.000, 0.000) and Er at (0.070, 0.500, 0.717).